No. 1
# Na2LiIn2 (PBE, relaxed)
# - distance to the lowest polymorph of the same formula (eV/atom) = 0.0762
data_Na2LiIn2
_chemical_formula_sum 'Na2 Li1 In2'
_space_group_name_H-M_alt 'P 1'
_space_group_IT_number 1
_space_group_name_Hall 'P 1'
_cell_length_a 8.322
_cell_length_b 8.322
_cell_length_c 8.322
_cell_angle_alpha 150.67
_cell_angle_beta 150.67
_cell_angle_gamma 41.96
loop_
_atom_site_label
_atom_site_fract_x
_atom_site_fract_y
_atom_site_fract_z
Na1 0.250 0.750 0.500
Na2 0.750 0.250 0.500
Li1 0.000 0.000 0.000
In1 0.408 0.408 0.000
In2 0.592 0.592 0.000

---

No. 2
# NaLi4In4 (PBE, relaxed)
# - distance to the lowest polymorph of the same formula (eV/atom) = 0.0303
data_NaLi4In4
_chemical_formula_sum 'Na2 Li8 In8'
_space_group_name_H-M_alt 'P 1'
_space_group_IT_number 1
_space_group_name_Hall 'P 1'
_cell_length_a 6.494
_cell_length_b 6.494
_cell_length_c 10.265
_cell_angle_alpha 90.00
_cell_angle_beta 90.00
_cell_angle_gamma 90.00
loop_
_atom_site_label
_atom_site_fract_x
_atom_site_fract_y
_atom_site_fract_z
Na1 0.250 0.750 0.250
Na2 0.750 0.250 0.750
Li1 0.028 0.250 0.036
Li2 0.250 0.028 0.536
Li3 0.250 0.472 0.536
Li4 0.472 0.250 0.036
Li5 0.528 0.750 0.964
Li6 0.750 0.528 0.464
Li7 0.750 0.972 0.464
Li8 0.972 0.750 0.964
In1 0.026 0.250 0.327
In2 0.250 0.026 0.827
In3 0.250 0.474 0.827
In4 0.474 0.250 0.327
In5 0.526 0.750 0.673
In6 0.750 0.526 0.173
In7 0.750 0.974 0.173
In8 0.974 0.750 0.673

---

No. 3
# Na2LiIn3 (PBE, relaxed)
# - total DFT energy (no corrections) (eV/atom) = -2.271
data_Na2LiIn3
_chemical_formula_sum 'Na2 Li1 In3'
_space_group_name_H-M_alt 'P 1'
_space_group_IT_number 1
_space_group_name_Hall 'P 1'
_cell_length_a 5.928
_cell_length_b 5.928
_cell_length_c 6.004
_cell_angle_alpha 117.28
_cell_angle_beta 117.28
_cell_angle_gamma 62.64
loop_
_atom_site_label
_atom_site_fract_x
_atom_site_fract_y
_atom_site_fract_z
Na1 0.123 0.123 0.378
Na2 0.877 0.877 0.622
Li1 0.500 0.500 0.000
In1 0.000 0.500 0.000
In2 0.500 0.000 0.000
In3 0.500 0.500 0.500

---

The records above yield DOS at the Fermi energy values of 1.914; 3.449; 2.557 states/eV per cell, respectively.